A plane-wave DFT calculation with PBE was carried out for a relaxed MgTa2C crystal.

It has space group I-42d (No. 122), with a = 5.561 Å, b = 5.561 Å, c = 10.949 Å, α = 90.00°, β = 90.00° and γ = 90.00°. The asymmetric unit holds Mg at (0.000, 0.000, 0.000), Ta at (0.094, 0.250, 0.625) and C at (0.000, 0.000, 0.500).

The value obtained for the uncorrected energy is -7.76 eV per atom. For the magnetic moment, the calculation gives 0.00 μB per cell.

A plane-wave DFT calculation with PBE was carried out for a relaxed KRe crystal.

It has space group Pmmn (No. 59, origin choice 2), with a = 4.069 Å, b = 8.187 Å, c = 11.418 Å, α = 90.00°, β = 90.00° and γ = 90.00°. The asymmetric unit holds K at (0.250, 0.062, 0.166), K at (0.250, 0.750, 0.303), Re at (0.250, 0.250, 0.460) and Re at (0.250, 0.565, 0.555).

The value obtained for the uncorrected energy is -5.94 eV per atom. For the magnetic moment, the calculation gives 0.00 μB per cell.

A plane-wave DFT calculation with PBE was carried out for a relaxed HfNp2Tl3Se6 crystal.

It has space group C2/m (No. 12), with a = 7.096 Å, b = 12.248 Å, c = 8.212 Å, α = 90.00°, β = 106.62° and γ = 90.00°. The asymmetric unit holds Hf at (0.000, 0.000, 0.000), Np at (0.000, 0.334, 0.000), Tl at (0.000, 0.173, 0.500), Tl at (0.000, 0.500, 0.500), Se at (0.223, 0.157, 0.199) and Se at (0.245, 0.000, 0.795).

The uncorrected formation energy comes out at -0.908 eV/atom. For the magnetic moment, the calculation gives 18.02 μB per cell.

A plane-wave DFT calculation with PBE was carried out for a relaxed Tb4Zn2Pt crystal.

It has space group Cmmm (No. 65), with a = 7.123 Å, b = 9.965 Å, c = 4.938 Å, α = 90.00°, β = 90.00° and γ = 90.00°. The asymmetric unit holds Tb at (0.244, 0.000, 0.000), Tb at (0.250, 0.250, 0.500), Zn at (0.000, 0.256, 0.000) and Pt at (0.000, 0.000, 0.500).

The value obtained for the uncorrected energy is -4.35 eV per atom. For the magnetic moment, the calculation gives 0.00 μB per cell.

A plane-wave DFT calculation with PBE was carried out for a relaxed Ac2Sm6Y3 crystal.

It has space group R-3m (No. 166, hexagonal axes), with a = 3.6945 Å, b = 3.6945 Å, c = 98.4834 Å, α = 90.00°, β = 90.00° and γ = 120.00°. The asymmetric unit holds Ac at (0.0000, 0.0000, 0.0467), Sm at (0.0000, 0.0000, 0.1373), Sm at (0.0000, 0.0000, 0.3185), Sm at (0.0000, 0.0000, 0.4118), Y at (0.0000, 0.0000, 0.2255) and Y at (0.0000, 0.0000, 0.5000).

The value obtained for the uncorrected energy is -5.04 eV per atom. For the magnetic moment, the calculation gives 0.00 μB per cell.

A plane-wave DFT calculation with PBE was carried out for a relaxed La2Al7Au crystal.

It has space group P-4m2 (No. 115), with a = 4.376 Å, b = 4.376 Å, c = 11.012 Å, α = 90.00°, β = 90.00° and γ = 90.00°. The asymmetric unit holds La at (0.000, 0.500, 0.250), Al at (0.000, 0.000, 0.000), Al at (0.000, 0.000, 0.500), Al at (0.000, 0.500, 0.637), Al at (0.000, 0.500, 0.869), Al at (0.500, 0.500, 0.500) and Au at (0.500, 0.500, 0.000).

The value obtained for the uncorrected energy is -4.41 eV per atom. For the magnetic moment, the calculation gives 0.00 μB per cell.

A plane-wave DFT calculation with PBE was carried out for a relaxed Ca2SbCl crystal.

It has space group Cmmm (No. 65), with a = 5.143 Å, b = 5.855 Å, c = 7.813 Å, α = 90.00°, β = 90.00° and γ = 90.00°. The asymmetric unit holds Ca at (0.000, 0.000, 0.221), Sb at (0.000, 0.500, 0.000) and Cl at (0.000, 0.500, 0.500).

The uncorrected formation energy comes out at -1.188 eV/atom. For the magnetic moment, the calculation gives 0.00 μB per cell.

A plane-wave DFT calculation with PBE was carried out for a relaxed TeRu crystal.

It has space group I-43m (No. 217), with a = 7.891 Å, b = 7.891 Å, c = 7.891 Å, α = 90.00°, β = 90.00° and γ = 90.00°. The asymmetric unit holds Te at (0.189, 0.189, 0.811) and Ru at (0.126, 0.126, 0.126).

The uncorrected formation energy comes out at 0.135 eV/atom. For the magnetic moment, the calculation gives 0.00 μB per cell.

magnetic moment of number 4 (Tb4Zn2Pt)? 0.00 μB per cell

Which formula does entry 1 have? MgTa2C

magnetic moment of number 1 (MgTa2C)? 0.00 μB per cell